# 1
NbTl2CdO6: optimized geometry, PBE-GGA.

Structure (POSCAR):
```
NbTl2CdO6
1.0
5.766 0.000 0.000
2.883 4.994 0.000
2.883 1.665 5.055
Tl Cd O Nb
2 1 6 1
Direct
0.035 0.035 0.895
0.534 0.534 0.399
0.805 0.805 0.584
0.125 0.416 0.777
0.997 0.578 0.246
0.179 0.997 0.246
0.578 0.179 0.245
0.416 0.682 0.777
0.682 0.125 0.777
0.310 0.310 0.069
```

## Properties
Formation energy from raw total energies ... -1340 meV per atom
Density ... 8.1 g/cm³
DFT total energy ... -5.887 eV per atom
Symmetry ... R3 (146)

=====

# 2
NbTl3Cd2O6: optimized geometry, PBE-GGA.

Structure (POSCAR):
```
NbTl3Cd2O6
1.0
-0.589 -0.069 5.925
4.514 -2.835 -2.654
2.447 6.177 -0.535
Cd Tl O Nb
2 3 6 1
Direct
0.668 0.332 0.000
0.332 0.668 0.000
0.170 0.830 0.500
0.830 0.170 0.500
0.500 0.500 0.500
0.351 0.066 0.166
0.066 0.351 0.166
0.785 0.785 0.199
0.215 0.215 0.801
0.934 0.649 0.834
0.649 0.934 0.834
0.000 0.000 0.000
```

## Properties
Formation energy from raw total energies ... -1264 meV per atom
Density ... 8.7 g/cm³
DFT total energy ... -5.326 eV per atom
Symmetry ... C2/m (12)

=====

# 3
TmNbCd2O6: optimized geometry, PBE-GGA.

Structure (POSCAR):
```
TmNbCd2O6
1.0
5.597 0.000 -0.037
0.000 5.744 0.000
-0.005 0.000 8.150
O Tm Cd Nb
12 2 4 2
Direct
0.829 0.798 0.936
0.610 0.056 0.263
0.800 0.823 0.555
0.890 0.556 0.237
0.329 0.702 0.436
0.390 0.944 0.737
0.700 0.323 0.945
0.300 0.677 0.055
0.200 0.177 0.445
0.110 0.444 0.763
0.671 0.298 0.564
0.171 0.202 0.064
0.500 0.000 0.000
0.000 0.500 0.500
0.006 0.957 0.250
0.994 0.043 0.750
0.506 0.543 0.750
0.494 0.457 0.250
0.000 0.500 0.000
0.500 0.000 0.500
```

## Properties
Formation energy from raw total energies ... -2227 meV per atom
Density ... 7.4 g/cm³
DFT total energy ... -6.839 eV per atom
Symmetry ... P2_1/c (14)

=====

# 4
UNbCd2O8: optimized geometry, PBE-GGA.

Structure (POSCAR):
```
UNbCd2O8
1.0
-2.885 -4.064 -1.065
3.285 -2.693 2.812
-3.649 1.177 5.392
O Nb Cd U
8 1 2 1
Direct
0.827 0.173 0.756
0.719 0.720 0.000
0.288 0.287 0.500
0.173 0.827 0.756
0.281 0.280 0.000
0.173 0.827 0.244
0.712 0.713 0.500
0.827 0.173 0.244
0.000 0.000 0.000
0.500 0.500 0.242
0.500 0.500 0.758
0.000 0.000 0.500
```

## Properties
Formation energy from raw total energies ... -2053 meV per atom
Density ... 6.6 g/cm³
DFT total energy ... -7.290 eV per atom
Symmetry ... Cmmm (65)